Entry from Alexandria via LeMat-Bulk: an optimized crystal structure of Au2Se2Cl (PBE-GGA).

It has space group I4/mmm (No. 139), with a = 4.9666 Å, b = 4.9666 Å, c = 9.3978 Å, α = 90.00°, β = 90.00° and γ = 90.00°. The asymmetric unit holds Au at (0.0000, 0.0000, 0.1685), Se at (0.0000, 0.5000, 0.2500) and Cl at (0.0000, 0.0000, 0.5000).

Its total magnetization is 0.00 μB/f.u. Its mass density is 8.4 g/cm³. Its uncorrected formation energy is 108 meV per atom. For the volume, the calculation gives 23.2 Å³/atom.